# 1
## KRbZrS3 (GGA-PBE)

Data for a relaxed KRbZrS3 crystal.

abc: 7.7688 3.8986 10.6728
angles: 90.00 94.73 90.00
Last column: nearest neighbours and their distance in Å.
Positions (direct):
K 0.5815 0.7500 0.1460  6 S 3.10-3.24
K 0.4185 0.2500 0.8540  6 S 3.10-3.24
Rb 0.7487 0.2500 0.4812  6 S 3.26-3.43
Rb 0.2513 0.7500 0.5188  6 S 3.26-3.43
S 0.1903 0.7500 0.0138  3 Zr 2.67-2.81
S 0.9525 0.7500 0.2804  2 Zr 2.61
S 0.3660 0.2500 0.2956  1 Zr 2.41
S 0.6340 0.7500 0.7044  1 Zr 2.41
S 0.0475 0.2500 0.7196  2 Zr 2.61
S 0.8097 0.2500 0.9862  3 Zr 2.67-2.81
Zr 0.0971 0.2500 0.1649  5 S 2.41-2.67
Zr 0.9029 0.7500 0.8351  5 S 2.41-2.67

Values from the calculation:
**Size of the total moment**: 0.000 μB per atom
**Energy**: -5.279 eV per atom
**Energy above the most stable polymorph in this dataset**: 0 meV per atom

# 2
## CsHoPbS3 (GGA-PBE)

Data for a relaxed CsHoPbS3 crystal.

abc: 9.2316 9.2316 9.7182
angles: 100.58 100.58 25.88
Last column: nearest neighbours and their distance in Å.
Positions (direct):
Cs 0.1536 0.1536 0.0676  7 S 3.41-3.72
Cs 0.8464 0.8464 0.9324  7 S 3.41-3.72
Ho 0.8303 0.8303 0.4303  6 S 2.70-3.00
Ho 0.1697 0.1697 0.5697  6 S 2.70-3.00
Pb 0.4963 0.4963 0.2807  4 S 2.74-2.96
Pb 0.5037 0.5037 0.7193  4 S 2.74-2.96
S 0.5000 0.5000 0.0000  2 Pb 2.74
S 0.3404 0.3404 0.2478  2 Ho 2.75, 1 Pb 2.76
S 0.6776 0.6776 0.3832  3 Ho 2.70-2.77
S 0.0000 0.0000 0.5000  4 Pb 2.96, 2 Ho 3.00
S 0.3224 0.3224 0.6168  3 Ho 2.70-2.77
S 0.6596 0.6596 0.7522  2 Ho 2.75, 1 Pb 2.76

Values from the calculation:
**Size of the total moment**: 0.001 μB per atom
**Energy**: -4.930 eV per atom
**Energy above the most stable polymorph in this dataset**: 0 meV per atom

# 3
## Ba2ScOsN6 (GGA-PBE)

Data for a relaxed Ba2ScOsN6 crystal.

abc: 5.8594 5.8594 5.8608
angles: 120.00 120.00 60.00
Last column: nearest neighbours and their distance in Å.
Positions (direct):
Ba 0.7501 0.7501 0.2501  12 N 2.93-2.94
Ba 0.2499 0.2499 0.7499  12 N 2.93-2.94
N 0.7632 0.2362 0.2362  1 Os 1.96, 1 Sc 2.18
N 0.2362 0.7632 0.2362  1 Os 1.96, 1 Sc 2.18
N 0.2366 0.2366 0.2372  1 Os 1.96, 1 Sc 2.18
N 0.7634 0.7634 0.7628  1 Os 1.96, 1 Sc 2.18
N 0.7638 0.2368 0.7638  1 Os 1.96, 1 Sc 2.18
N 0.2368 0.7638 0.7638  1 Os 1.96, 1 Sc 2.18
Os 0.0000 0.0000 0.0000  6 N 1.96
Sc 0.5000 0.5000 0.5000  6 N 2.18

Values from the calculation:
**Size of the total moment**: 0.000 μB per atom
**Energy**: -7.211 eV per atom

# 4
## Ta2Cd (GGA-PBE)

Data for a relaxed Ta2Cd crystal.

abc: 5.5362 5.5362 5.5362
angles: 60.00 60.00 60.00
Last column: nearest neighbours and their distance in Å.
Positions (direct):
Cd 0.0000 0.0000 0.0000  12 Ta 3.25, 4 Cd 3.39
Cd 0.2500 0.2500 0.2500  12 Ta 3.25, 4 Cd 3.39
Ta 0.6250 0.6250 0.1250  6 Ta 2.77
Ta 0.6250 0.1250 0.6250  6 Ta 2.77
Ta 0.1250 0.6250 0.6250  6 Ta 2.77
Ta 0.6250 0.6250 0.6250  6 Ta 2.77

Values from the calculation:
**Formation enthalpy at 0 K**: 142 kJ/mol of formula units
**Size of the total moment**: 0.001 μB per atom
**Energy**: -7.711 eV per atom

# 5
## NbTlCdTe3 (GGA-PBE)

Data for a relaxed NbTlCdTe3 crystal.

abc: 8.1805 8.1805 11.0456
angles: 90.00 90.00 151.05
Last column: nearest neighbours and their distance in Å.
Positions (direct):
Cd 0.9545 0.0455 0.2500  4 Te 2.80-2.83
Cd 0.0455 0.9545 0.7500  4 Te 2.80-2.83
Nb 0.5000 0.5000 0.0000  6 Te 2.94-3.02
Nb 0.5000 0.5000 0.5000  6 Te 2.94-3.02
Te 0.8682 0.1318 0.0289  1 Cd 2.80, 2 Nb 2.94
Te 0.5779 0.4221 0.2500  2 Cd 2.83, 2 Nb 3.02
Te 0.8682 0.1318 0.4711  1 Cd 2.80, 2 Nb 2.94
Te 0.1318 0.8682 0.5289  1 Cd 2.80, 2 Nb 2.94
Te 0.4221 0.5779 0.7500  2 Cd 2.83, 2 Nb 3.02
Te 0.1318 0.8682 0.9711  1 Cd 2.80, 2 Nb 2.94
Tl 0.2613 0.7387 0.2500  8 Te 3.55-3.70, 2 Cd 3.68
Tl 0.7387 0.2613 0.7500  8 Te 3.55-3.70, 2 Cd 3.68

Values from the calculation:
**Size of the total moment**: 0.332 μB per atom
**Energy**: -3.992 eV per atom
**Energy above the most stable polymorph in this dataset**: 26 meV per atom

# 6
## ZnCuAu2 (GGA-PBE)

Data for a relaxed ZnCuAu2 crystal.

abc: 4.4203 4.4203 8.0621
angles: 90.00 90.00 120.00
Last column: nearest neighbours and their distance in Å.
Positions (direct):
Au 0.6667 0.3333 0.0830  3 Zn 2.64, 4 Cu 2.68-2.89, 4 Au 2.69-2.88
Au 0.6667 0.3333 0.4170  3 Zn 2.64, 4 Cu 2.68-2.89, 4 Au 2.69-2.88
Au 0.3333 0.6667 0.5830  3 Zn 2.64, 4 Cu 2.68-2.89, 4 Au 2.69-2.88
Au 0.3333 0.6667 0.9170  3 Zn 2.64, 4 Cu 2.68-2.89, 4 Au 2.69-2.88
Cu 0.3333 0.6667 0.2500  8 Au 2.68-2.89
Cu 0.6667 0.3333 0.7500  8 Au 2.68-2.89
Zn 0.0000 0.0000 0.0000  6 Au 2.64
Zn 0.0000 0.0000 0.5000  6 Au 2.64

Values from the calculation:
**Formation enthalpy at 0 K**: -10 kJ/mol of formula units
**Energy**: -2.905 eV per atom

# 7
## HfZr2NiAs4Pd3 (GGA-PBE)

Data for a relaxed HfZr2NiAs4Pd3 crystal.

abc: 6.5691 3.9241 7.6316
angles: 90.00 90.35 90.00
Last column: nearest neighbours and their distance in Å.
Positions (direct):
As 0.2433 0.5000 0.1205  4 Pd 2.54-2.69, 2 Zr 2.72
As 0.7539 0.5000 0.3877  2 Ni 2.41, 2 Pd 2.56-2.60
As 0.2356 0.0000 0.6337  3 Pd 2.50-2.52, 1 Ni 2.59
As 0.7858 0.0000 0.8599  1 Ni 2.39, 2 Pd 2.67
Hf 0.4626 0.0000 0.3205  5 As 2.79-2.87, 5 Pd 2.94-3.03, 1 Ni 3.10
Ni 0.8517 0.0000 0.5520  4 As 2.39-2.59
Pd 0.6476 0.5000 0.0649  4 As 2.56-2.69, 2 Pd 2.82
Pd 0.1449 0.5000 0.4461  4 As 2.50-2.60
Pd 0.3737 0.0000 0.9430  4 As 2.52-2.78, 2 Pd 2.82
Zr 0.9656 0.0000 0.1784  5 As 2.70-2.89, 1 Ni 2.95, 2 Pd 2.99
Zr 0.5334 0.5000 0.6907  5 As 2.74-2.87, 3 Pd 2.95, 2 Ni 3.06

Values from the calculation:
**Size of the total moment**: 0.001 μB per atom
**Energy**: -6.881 eV per atom
**Energy above the most stable polymorph in this dataset**: 7 meV per atom

# 8
## GdHoZr2Sb2 (GGA-PBE)

Data for a relaxed GdHoZr2Sb2 crystal.

abc: 8.8661 8.8661 8.8661
angles: 152.09 152.09 39.88
Last column: nearest neighbours and their distance in Å.
Positions (direct):
Gd 0.3223 0.3223 0.0000  5 Sb 3.12-3.16
Ho 0.6766 0.6766 0.0000  5 Sb 3.11-3.18
Sb 0.1330 0.1330 0.0000  4 Zr 3.08, 4 Ho 3.11, 1 Gd 3.16
Sb 0.8673 0.8673 0.0000  4 Zr 3.08, 4 Gd 3.12, 1 Ho 3.18
Zr 0.5004 0.0004 0.5000  4 Zr 3.02, 4 Sb 3.08
Zr 0.0004 0.5004 0.5000  4 Zr 3.02, 4 Sb 3.08

Values from the calculation:
**Size of the total moment**: 0.011 μB per atom
**Energy**: -6.567 eV per atom

# 9
## DyYNi4 (GGA-PBE)

Data for a relaxed DyYNi4 crystal.

abc: 5.3654 5.3654 8.0052
angles: 90.00 90.00 119.97
Last column: nearest neighbours and their distance in Å.
Positions (direct):
Dy 0.8333 0.1667 0.0000  6 Ni 2.67
Dy 0.1667 0.8333 0.0000  6 Ni 2.67
Ni 0.0000 0.0000 0.2724  2 Ni 2.39, 2 Dy 2.67
Ni 0.5000 0.0000 0.2724  2 Ni 2.39, 2 Dy 2.67
Ni 0.0000 0.5000 0.2724  2 Ni 2.39, 2 Dy 2.67
Ni 0.8333 0.1667 0.5000  6 Ni 2.39
Ni 0.1667 0.8333 0.5000  6 Ni 2.39
Ni 0.5000 0.0000 0.7276  2 Ni 2.39, 2 Dy 2.67
Ni 0.0000 0.5000 0.7276  2 Ni 2.39, 2 Dy 2.67
Ni 0.0000 0.0000 0.7276  2 Ni 2.39, 2 Dy 2.67
Y 0.5000 0.5000 0.0000  6 Dy 3.10, 12 Ni 3.46
Y 0.5000 0.5000 0.5000  18 Ni 3.10-3.24

Values from the calculation:
**Formation enthalpy at 0 K**: -11 kJ/mol of formula units
**Size of the total moment**: 0.000 μB per atom
**Energy**: -5.576 eV per atom
**Energy above the most stable polymorph in this dataset**: 418 meV per atom

# 10
## ZnCdCoAs (GGA-PBE)

Data for a relaxed ZnCdCoAs crystal.

abc: 4.4760 4.4760 4.4760
angles: 60.00 60.00 60.00
Last column: nearest neighbours and their distance in Å.
Positions (direct):
As 0.0000 0.0000 0.0000  4 Co 2.74, 4 Zn 2.74
Cd 0.5000 0.5000 0.5000  4 Co 2.74, 4 Zn 2.74
Co 0.7500 0.7500 0.7500  4 Cd 2.74, 4 As 2.74
Zn 0.2500 0.2500 0.2500  4 Cd 2.74, 4 As 2.74

Values from the calculation:
**Size of the total moment**: 0.118 μB per atom
**Energy**: -3.149 eV per atom
**Energy above the most stable polymorph in this dataset**: 0 meV per atom

# 11
## NdAsPbSe3 (GGA-PBE)

Data for a relaxed NdAsPbSe3 crystal.

abc: 8.0874 8.0874 9.5520
angles: 90.00 90.00 148.11
Last column: nearest neighbours and their distance in Å.
Positions (direct):
As 0.0325 0.9675 0.2500  2 Se 2.47
As 0.9675 0.0325 0.7500  2 Se 2.47
Nd 0.5000 0.5000 0.0000  6 Se 3.02-3.20, 4 As 3.30
Nd 0.5000 0.5000 0.5000  6 Se 3.02-3.20, 4 As 3.30
Pb 0.7441 0.2559 0.2500  2 Se 2.89
Pb 0.2559 0.7441 0.7500  2 Se 2.89
Se 0.1285 0.8715 0.0435  1 As 2.47
Se 0.3631 0.6369 0.2500  2 Pb 2.89, 2 Nd 3.20
Se 0.1285 0.8715 0.4565  1 As 2.47
Se 0.8715 0.1285 0.5435  1 As 2.47
Se 0.6369 0.3631 0.7500  2 Pb 2.89, 2 Nd 3.20
Se 0.8715 0.1285 0.9565  1 As 2.47

Values from the calculation:
**Size of the total moment**: 0.000 μB per atom
**Energy**: -4.695 eV per atom

# 12
## NaZrPdSe3 (GGA-PBE)

Data for a relaxed NaZrPdSe3 crystal.

abc: 13.2726 3.8149 10.5453
angles: 90.00 90.00 90.00
Last column: nearest neighbours and their distance in Å.
Positions (direct):
Na 0.2745 0.7500 0.0556  6 Se 2.96-3.10
Na 0.7745 0.7500 0.4444  6 Se 2.96-3.10
Na 0.2255 0.2500 0.5556  6 Se 2.96-3.10
Na 0.7255 0.2500 0.9444  6 Se 2.96-3.10
Pd 0.4959 0.2500 0.0996  3 Se 2.50-2.61
Pd 0.9959 0.2500 0.4004  3 Se 2.50-2.61
Pd 0.0041 0.7500 0.5996  3 Se 2.50-2.61
Pd 0.5041 0.7500 0.9004  3 Se 2.50-2.61
Se 0.1040 0.2500 0.0637  3 Zr 2.75-2.79, 2 Na 2.96
Se 0.6152 0.7500 0.1304  2 Pd 2.50, 1 Zr 2.68
Se 0.8485 0.2500 0.2363  1 Pd 2.61, 2 Zr 2.70
Se 0.3485 0.2500 0.2637  1 Pd 2.61, 2 Zr 2.70
Se 0.1152 0.7500 0.3696  2 Pd 2.50, 1 Zr 2.68
Se 0.6040 0.2500 0.4363  3 Zr 2.75-2.79, 2 Na 2.96
Se 0.3960 0.7500 0.5637  3 Zr 2.75-2.79, 2 Na 2.96
Se 0.8848 0.2500 0.6304  2 Pd 2.50, 1 Zr 2.68
Se 0.6515 0.7500 0.7363  1 Pd 2.61, 2 Zr 2.70
Se 0.1515 0.7500 0.7637  1 Pd 2.61, 2 Zr 2.70
Se 0.3848 0.2500 0.8696  2 Pd 2.50, 1 Zr 2.68
Se 0.8960 0.7500 0.9363  3 Zr 2.75-2.79, 2 Na 2.96
Zr 0.9843 0.7500 0.1764  6 Se 2.68-2.79
Zr 0.4843 0.7500 0.3236  6 Se 2.68-2.79
Zr 0.5157 0.2500 0.6764  6 Se 2.68-2.79
Zr 0.0157 0.2500 0.8236  6 Se 2.68-2.79

Values from the calculation:
**Size of the total moment**: 0.002 μB per atom
**Energy**: -5.289 eV per atom
**Energy above the most stable polymorph in this dataset**: 2 meV per atom